# ThTaSi2Ir5, optimized geometry, DFT PBE
data_ThTaSi2Ir5
_symmetry_space_group_name_H-M 'P 4/m m m'
_symmetry_Int_Tables_number 123
_symmetry_space_group_name_Hall '-P 4 2'
_cell_length_a 4.0468
_cell_length_b 4.0468
_cell_length_c 10.5819
_cell_angle_alpha 90.00
_cell_angle_beta 90.00
_cell_angle_gamma 90.00
loop_
_atom_site_label
_atom_site_type_symbol
_atom_site_fract_x
_atom_site_fract_y
_atom_site_fract_z
_atom_site_occupancy
Th1 Th 0.0000 0.0000 0.0000 1
Ta1 Ta 0.0000 0.0000 0.5000 1
Si1 Si 0.5000 0.5000 0.2232 1
Ir1 Ir 0.0000 0.5000 0.3373 1
Ir2 Ir 0.5000 0.5000 0.0000 1
# Final energy   -8.858 eV per atom
# Fermi-level density of states   2.90 states/eV per cell
# ΔE_f (raw)   -0.589 eV/atom


# U2TaSi4Ir3, optimized geometry, DFT PBE
data_U2TaSi4Ir3
_symmetry_space_group_name_H-M 'P -4 m 2'
_symmetry_Int_Tables_number 115
_cell_length_a 4.1052
_cell_length_b 4.1052
_cell_length_c 10.3040
_cell_angle_alpha 90.00
_cell_angle_beta 90.00
_cell_angle_gamma 90.00
loop_
_symmetry_equiv_pos_as_xyz
'x,y,z'
'y,-x,-z'
'-x,-y,z'
'-y,x,-z'
'-x,y,z'
'-y,-x,-z'
'x,-y,z'
'y,x,-z'
loop_
_atom_site_label
_atom_site_type_symbol
_atom_site_fract_x
_atom_site_fract_y
_atom_site_fract_z
_atom_site_occupancy
U1 U 0.0000 0.5000 0.2412 1
Ta1 Ta 0.0000 0.0000 0.5000 1
Si1 Si 0.0000 0.0000 0.0000 1
Si2 Si 0.0000 0.5000 0.6477 1
Si3 Si 0.5000 0.5000 0.0000 1
Ir1 Ir 0.0000 0.5000 0.8770 1
Ir2 Ir 0.5000 0.5000 0.5000 1
# Final energy   -8.910 eV per atom
# Fermi-level density of states   14.28 states/eV per cell
# ΔE_f (raw)   -0.640 eV/atom


# Ta2VSiIr, optimized geometry, DFT PBE
data_Ta2VSiIr
_symmetry_space_group_name_H-M 'P 4/m m m'
_symmetry_Int_Tables_number 123
_symmetry_space_group_name_Hall '-P 4 2'
_cell_length_a 4.6213
_cell_length_b 4.6213
_cell_length_c 4.3273
_cell_angle_alpha 90.00
_cell_angle_beta 90.00
_cell_angle_gamma 90.00
loop_
_atom_site_label
_atom_site_type_symbol
_atom_site_fract_x
_atom_site_fract_y
_atom_site_fract_z
_atom_site_occupancy
Ta1 Ta 0.0000 0.5000 0.0000 1
V1 V 0.0000 0.0000 0.5000 1
Si1 Si 0.5000 0.5000 0.0000 1
Ir1 Ir 0.5000 0.5000 0.5000 1
# Final energy   -8.624 eV per atom
# Fermi-level density of states   9.06 states/eV per cell
# ΔE_f (raw)   0.797 eV/atom


The highest ΔE_f (raw) belongs to which entry?
Ta2VSiIr


Number 3 is which compound?
Ta2VSiIr